# Mn2NiAg PBE-GGA relaxed
data_Mn2NiAg
_chemical_formula_sum 'Mn2 Ni1 Ag1'
_cell_length_a 4.3236
_cell_length_b 4.3236
_cell_length_c 3.1333
_cell_angle_alpha 90.00
_cell_angle_beta 90.00
_cell_angle_gamma 90.00
_space_group_name_H-M_alt 'P 1'
_space_group_IT_number 1
loop_
_space_group_symop_operation_xyz
'x,y,z'
loop_
_atom_site_label
_atom_site_type_symbol
_atom_site_fract_x
_atom_site_fract_y
_atom_site_fract_z
Mn1 Mn 0.0000 0.5000 0.0000
Mn2 Mn 0.5000 0.0000 0.0000
Ni1 Ni 0.0000 0.0000 0.5000
Ag1 Ag 0.5000 0.5000 0.5000
# Mass density ... 7.84 g cm⁻³
# Space group ... P4/mmm
# Relative energy among the computed polymorphs ... 0.0981 eV per atom
# Crystal system ... tetragonal
# E_form ... 0.98 eV/f.u.